(1)
Material: AsRhCl2
Method: DFT, PBE
State: optimized geometry

Cell: 3.7827 4.3532 4.3532 Å, 90.00 90.00 90.00°
Fractional positions:
Cl 0.0000 0.5000 0.5000
Cl 0.0000 0.0000 0.0000
Rh 0.5000 0.5000 0.0000
As 0.5000 0.0000 0.5000

Properties
magnetization = 0.4 μB per cell
polymorph energy (0 for the lowest one) = 1216 meV per atom
uncorrected formation energy = 0.62 eV/atom

(2)
Material: CsCu
Method: DFT, PBE
State: optimized geometry

Cell: 8.1729 8.1729 8.1729 Å, 90.00 90.00 90.00°
Fractional positions:
Cu 0.7500 0.7500 0.2500
Cu 0.2500 0.7500 0.7500
Cu 0.2500 0.2500 0.2500
Cu 0.7500 0.2500 0.7500
Cs 0.5000 0.5000 0.0000
Cs 0.0000 0.0000 0.0000
Cs 0.0000 0.5000 0.5000
Cs 0.5000 0.0000 0.5000

Properties
magnetization = 0.8 μB per cell
formation energy = 586 meV/atom

| no. | DFT total energy (eV per atom) |
| --- | --- |
| 1 | -3.3073 |
| 2 | -1.8886 |